ZnMoAu2 | PBE-GGA | optimized geometry

Output
ΔE_f   0.053 eV per atom
D(E_F)   1.9 states/eV/f.u.
E   -0.3390 Ry/atom
Total magnetization   0.000 μB per atom

Cell: 2.841 2.841 8.106 Å, 90.00 90.00 90.02°
Positions (direct):
1 Mo 0.500 0.500 0.250
2 Au 0.000 0.000 0.506
3 Au 0.000 0.000 0.994
4 Zn 0.500 0.500 0.750